## LaY2Si (PBEsol)

Data for a geometry-optimized LaY2Si structure.

- ΔE_f (raw) (meV per atom) = -213

Structure (CIF):
```
data_LaY2Si
_chemical_formula_sum 'La1 Y2 Si1'
_cell_length_a 3.618
_cell_length_b 4.671
_cell_length_c 6.464
_cell_angle_alpha 90.00
_cell_angle_beta 102.92
_cell_angle_gamma 90.00
_symmetry_space_group_name_H-M 'P 1'
_symmetry_Int_Tables_number 1
_symmetry_space_group_name_Hall 'P 1'
loop_
_atom_site_label
_atom_site_type_symbol
_atom_site_fract_x
_atom_site_fract_y
_atom_site_fract_z
La1 La 0.000 0.000 0.000
Y1 Y 0.387 0.500 0.719
Y2 Y 0.613 0.500 0.281
Si1 Si 0.000 0.000 0.500
```


## MgCrSb (PBEsol)

Data for a geometry-optimized MgCrSb structure.

- ΔE_f (raw) (meV per atom) = 235

Structure (CIF):
```
data_MgCrSb
_chemical_formula_sum 'Mg1 Cr1 Sb1'
_cell_length_a 5.198
_cell_length_b 5.198
_cell_length_c 5.198
_cell_angle_alpha 142.26
_cell_angle_beta 142.26
_cell_angle_gamma 54.43
_symmetry_space_group_name_H-M 'P 1'
_symmetry_Int_Tables_number 1
_symmetry_space_group_name_Hall 'P 1'
loop_
_atom_site_label
_atom_site_type_symbol
_atom_site_fract_x
_atom_site_fract_y
_atom_site_fract_z
Mg1 Mg 0.000 0.000 0.000
Cr1 Cr 0.328 0.328 0.000
Sb1 Sb 0.694 0.694 0.000
```


## LaYNi2 (PBEsol)

Data for a geometry-optimized LaYNi2 structure.

- energy of formation from the pure elements (meV/atom) = -75

Structure (CIF):
```
data_LaYNi2
_chemical_formula_sum 'La1 Y1 Ni2'
_cell_length_a 5.697
_cell_length_b 5.697
_cell_length_c 5.697
_cell_angle_alpha 139.49
_cell_angle_beta 139.49
_cell_angle_gamma 58.63
_symmetry_space_group_name_H-M 'P 1'
_symmetry_Int_Tables_number 1
_symmetry_space_group_name_Hall 'P 1'
loop_
_atom_site_label
_atom_site_type_symbol
_atom_site_fract_x
_atom_site_fract_y
_atom_site_fract_z
La1 La 0.000 0.000 0.000
Y1 Y 0.250 0.750 0.500
Ni1 Ni 0.500 0.500 0.000
Ni2 Ni 0.750 0.250 0.500
```


## KZn2Rh (PBEsol)

Data for a geometry-optimized KZn2Rh structure.

- energy of formation from the pure elements (meV/atom) = -18

Structure (CIF):
```
data_KZn2Rh
_chemical_formula_sum 'K1 Zn2 Rh1'
_cell_length_a 4.305
_cell_length_b 4.305
_cell_length_c 6.378
_cell_angle_alpha 109.66
_cell_angle_beta 109.66
_cell_angle_gamma 59.87
_symmetry_space_group_name_H-M 'P 1'
_symmetry_Int_Tables_number 1
_symmetry_space_group_name_Hall 'P 1'
loop_
_atom_site_label
_atom_site_type_symbol
_atom_site_fract_x
_atom_site_fract_y
_atom_site_fract_z
K1 K 0.000 0.000 0.000
Zn1 Zn 0.179 0.179 0.540
Zn2 Zn 0.497 0.497 0.490
Rh1 Rh 0.817 0.817 0.454
```


no.,spin magnetization (μB/f.u.)
1,0.00
2,1.01
3,0.00
4,0.00